The following is a DFT calculation (PBE-GGA) of a relaxed Ir3C crystal.

Geometry as POSCAR:
```
Ir3C
1.0
4.522 0.027 0.000
-1.242 4.348 0.000
0.000 0.000 2.726
Ir C
3 1
Direct
0.500 0.000 0.500
0.500 0.500 0.000
0.000 0.500 0.500
0.000 0.000 0.000
```

- Energy above the lowest structure with this stoichiometry: 873 meV/atom
- SG: Cmmm
- Crystal system: orthorhombic
- DFT formation energy: 1.367 eV/atom